This record from the Alexandria database describes a geometry-optimized RbZn2Si structure. The functional is PBE-GGA.

* E_form (uncorrected): 0.16 eV per atom
* theoretical density: 3.35 g cm⁻³
* volume: 242.34 Å³/cell
* total DFT energy (no corrections): -2.074 eV/atom

Cell and atoms, written as POSCAR:
```
RbZn2Si
1.0
5.548 0.000 0.000
0.000 5.548 0.000
2.774 2.774 7.873
Zn Si Rb
4 2 2
Direct
0.375 0.125 0.250
0.375 0.625 0.250
0.375 0.625 0.750
0.875 0.625 0.750
0.500 0.500 0.000
0.250 0.750 0.500
0.000 0.000 0.000
0.750 0.250 0.500
```